1.
A relaxed Tm2LuPa crystal, computed with PBE.

## Properties
E ... -5.462 eV/atom

Lattice parameters (Å, degrees): 5.677 5.677 3.525 90.00 90.00 90.00
Space group P4/mmm (No. 123)
One atom of each set of equivalent atoms:
1 Tm 0.000 0.500 0.000
2 Lu 0.000 0.000 0.500
3 Pa 0.500 0.500 0.500

***

2.
A relaxed LaHgW2 crystal, computed with PBE.

## Properties
E ... -7.234 eV/atom

Lattice parameters (Å, degrees): 3.2118 3.2118 29.3513 90.00 90.00 120.00
Space group R3m (No. 160, hexagonal axes)
One atom of each set of equivalent atoms:
1 La 0.0000 0.0000 0.0000
2 Hg 0.0000 0.0000 0.2342
3 W 0.0000 0.0000 0.4846
4 W 0.0000 0.0000 0.7575

***

3.
A relaxed KCrIr2 crystal, computed with PBE.

## Properties
E ... -6.780 eV/atom

Lattice parameters (Å, degrees): 2.848 2.848 8.695 90.00 90.00 90.00
Space group P4/mmm (No. 123)
One atom of each set of equivalent atoms:
1 K 0.000 0.000 0.000
2 Cr 0.000 0.000 0.500
3 Ir 0.500 0.500 0.316

***

4.
A relaxed BaNaSr4 crystal, computed with PBE.

## Properties
E ... -1.529 eV/atom

Lattice parameters (Å, degrees): 11.243 11.243 11.243 90.00 90.00 90.00
Space group F-43m (No. 216)
One atom of each set of equivalent atoms:
1 Ba 0.000 0.000 0.000
2 Na 0.250 0.250 0.250
3 Sr 0.125 0.125 0.625